The following is a PBE-GGA calculation of crystalline CaFeAs2 at its relaxed geometry, from the Alexandria database.

Results
SG   Cm, No. 8
Formation energy   -0.2266 eV per atom
Total moment   0.65 μB/atom
Offset from the most stable computed form   0.2430 eV/atom

Cell lengths 5.8435, 5.8435, 4.3622 Å; angles 75.96, 75.96, 37.77 degrees
Site moments in Bohr magnetons follow the coordinates.
Element x y z (fractional)
As 0.9462 0.9462 0.0230  0.01
As 0.7322 0.7322 0.8662  -0.01
Ca 0.5248 0.5248 0.4879  0.00
Fe 0.2968 0.2968 0.1229  2.45

***

The following is a PBE-GGA calculation of crystalline BiSbPd5 at its relaxed geometry, from the Alexandria database.

Results
SG   P4/mmm, No. 123
Energy relative to the elements, uncorrected   -0.323 eV/atom
Total moment   0.00 μB/atom
Offset from the most stable computed form   0.0000 eV/atom

Cell lengths 4.1313, 4.1313, 7.6313 Å; angles 90.00, 90.00, 90.00 degrees
Element x y z (fractional)
Bi 0.0000 0.0000 0.5000
Sb 0.5000 0.5000 0.0000
Pd 0.0000 0.5000 0.7792
Pd 0.0000 0.5000 0.2208
Pd 0.5000 0.0000 0.7792
Pd 0.5000 0.0000 0.2208
Pd 0.5000 0.5000 0.5000

***

The following is a PBE-GGA calculation of crystalline NaLaSmTl at its relaxed geometry, from the Alexandria database.

Results
SG   F-43m, No. 216
Formation energy   -0.1045 eV per atom
Total moment   0.00 μB/atom

Cell lengths 5.5895, 5.5895, 5.5895 Å; angles 60.00, 60.00, 60.00 degrees
Element x y z (fractional)
Na 0.0000 0.0000 0.0000
Tl 0.5000 0.5000 0.5000
Sm 0.7500 0.7500 0.7500
La 0.2500 0.2500 0.2500

***

The following is a PBE-GGA calculation of crystalline Ac2CdPd4Pb3 at its relaxed geometry, from the Alexandria database.

Results
SG   P-4m2, No. 115
Formation energy   -0.5486 eV per atom
Total moment   0.00 μB/atom

Cell lengths 4.7765, 4.7765, 11.0308 Å; angles 90.00, 90.00, 90.00 degrees
Element x y z (fractional)
Ac 0.5000 0.0000 0.2418
Ac 0.0000 0.5000 0.7582
Cd 0.5000 0.5000 0.5000
Pd 0.5000 0.5000 0.0000
Pd 0.0000 0.0000 0.0000
Pd 0.5000 0.0000 0.6304
Pd 0.0000 0.5000 0.3696
Pb 0.0000 0.0000 0.5000
Pb 0.5000 0.0000 0.8746
Pb 0.0000 0.5000 0.1254

***

The following is a PBE-GGA calculation of crystalline La8Tl4H at its relaxed geometry, from the Alexandria database.

Results
Total DFT energy (no corrections)   -56.61 eV per formula unit
SG   Pmm2, No. 25
Total moment   0.00 μB/atom

Cell lengths 5.1196, 4.6329, 16.7034 Å; angles 90.00, 90.00, 90.00 degrees
Element x y z (fractional)
La 0.0000 0.0000 0.4322
La 0.0000 0.5000 0.9296
La 0.5000 0.5000 0.0741
La 0.5000 0.0000 0.5749
La 0.0000 0.5000 0.2329
La 0.0000 0.0000 0.7347
La 0.5000 0.0000 0.2666
La 0.5000 0.5000 0.7686
Tl 0.0000 0.0000 0.0898
Tl 0.0000 0.5000 0.5937
Tl 0.5000 0.5000 0.4093
Tl 0.5000 0.0000 0.9098
H 0.0000 0.0000 0.2868

***

The following is a PBE-GGA calculation of crystalline Y2Th2Sc3 at its relaxed geometry, from the Alexandria database.

Results
SG   C2/m, No. 12
Formation energy   0.1254 eV per atom
Total moment   0.00 μB/atom
Offset from the most stable computed form   0.0000 eV/atom

Cell lengths 3.3986, 8.4130, 8.5562 Å; angles 114.51, 101.47, 101.66 degrees
Element x y z (fractional)
Y 0.2102 0.5665 0.8537
Y 0.7898 0.4335 0.1463
Th 0.3601 0.2853 0.4356
Th 0.6399 0.7147 0.5644
Sc 0.4123 0.1152 0.7091
Sc 0.0000 0.0000 0.0000
Sc 0.5877 0.8848 0.2909

***

The following is a PBE-GGA calculation of crystalline TaCr2Ga at its relaxed geometry, from the Alexandria database.

Results
SG   I-42d, No. 122
Formation energy   0.7585 eV per atom
Total moment   0.00 μB/atom

Cell lengths 6.8335, 6.8335, 5.4921 Å; angles 51.53, 51.53, 90.00 degrees
Element x y z (fractional)
Cr 0.6165 0.1250 0.2500
Cr 0.1335 0.6250 0.2500
Cr 0.3750 0.3835 0.7500
Cr 0.8750 0.8665 0.7500
Ga 0.5000 0.5000 0.0000
Ga 0.2500 0.7500 0.5000
Ta 0.0000 0.0000 0.0000
Ta 0.7500 0.2500 0.5000

***

The following is a PBE-GGA calculation of crystalline Hg2Pb3Au4 at its relaxed geometry, from the Alexandria database.

Results
SG   C2/m, No. 12
Formation energy   -0.0149 eV per atom
Total moment   0.00 μB/atom

Cell lengths 4.5474, 6.0483, 8.9449 Å; angles 100.29, 90.00, 112.08 degrees
Element x y z (fractional)
Hg 0.3114 0.6228 0.2510
Hg 0.6886 0.3772 0.7490
Pb 0.3669 0.7338 0.6152
Pb 0.0000 0.0000 0.0000
Pb 0.6331 0.2662 0.3848
Au 0.6954 0.3907 0.0747
Au 0.0338 0.0677 0.6639
Au 0.9662 0.9323 0.3361
Au 0.3046 0.6093 0.9253

***

The following is a PBE-GGA calculation of crystalline BeCl3 at its relaxed geometry, from the Alexandria database.

Results
SG   R-3m, No. 166
Energy relative to the elements, uncorrected   -0.462 eV/atom
Total moment   0.25 μB/atom
Offset from the most stable computed form   0.3308 eV/atom

Cell lengths 11.1681, 11.1681, 11.1681 Å; angles 19.68, 19.68, 19.68 degrees
Site moments in Bohr magnetons follow the coordinates.
Element x y z (fractional)
Be 0.0000 0.0000 0.0000  0.00
Cl 0.5000 0.5000 0.5000  0.74
Cl 0.9456 0.9456 0.9456  0.01
Cl 0.0544 0.0544 0.0544  0.01

***

The following is a PBE-GGA calculation of crystalline MoIr2Rh6 at its relaxed geometry, from the Alexandria database.

Results
SG   C2/c, No. 15
Formation energy   0.1352 eV per atom
Total moment   0.00 μB/atom
Offset from the most stable computed form   0.2436 eV/atom

Cell lengths 5.0589, 7.3859, 7.3859 Å; angles 100.31, 94.25, 94.25 degrees
Element x y z (fractional)
Mo 0.2500 0.9088 0.0912
Mo 0.7500 0.0912 0.9088
Ir 0.1167 0.3971 0.3533
Ir 0.3833 0.6467 0.6029
Ir 0.8833 0.6029 0.6467
Ir 0.6167 0.3533 0.3971
Rh 0.5074 0.3403 0.7450
Rh 0.9926 0.2550 0.6597
Rh 0.4926 0.6597 0.2550
Rh 0.0074 0.7450 0.3403
Rh 0.6963 0.9282 0.5755
Rh 0.8037 0.4245 0.0718
Rh 0.3037 0.0718 0.4245
Rh 0.1963 0.5755 0.9282
Rh 0.2979 0.2459 0.0440
Rh 0.2021 0.9560 0.7541
Rh 0.7021 0.7541 0.9560
Rh 0.7979 0.0440 0.2459

***

The following is a PBE-GGA calculation of crystalline Tb2Ge5Ir3 at its relaxed geometry, from the Alexandria database.

Results
SG   Ibam, No. 72
Formation energy   -0.7239 eV per atom
Total moment   0.00 μB/atom
Offset from the most stable computed form   0.0000 eV/atom

Cell lengths 8.3974, 8.3974, 8.3974 Å; angles 137.83, 104.38, 90.60 degrees
Element x y z (fractional)
Tb 0.8598 0.6345 0.2253
Tb 0.1402 0.3655 0.7747
Tb 0.4091 0.1345 0.2747
Tb 0.5909 0.8655 0.7253
Ge 0.5000 0.7500 0.2500
Ge 0.5000 0.2500 0.7500
Ge 0.2232 0.9732 0.7500
Ge 0.7768 0.5268 0.7500
Ge 0.7768 0.0268 0.2500
Ge 0.2232 0.4732 0.2500
Ge 0.0641 0.9020 0.1621
Ge 0.9359 0.0980 0.8379
Ge 0.7398 0.4020 0.3379
Ge 0.2602 0.5980 0.6621
Ir 0.0000 0.7500 0.7500
Ir 0.0000 0.2500 0.2500
Ir 0.2465 0.8577 0.3887
Ir 0.7535 0.1423 0.6113
Ir 0.4690 0.3577 0.1113
Ir 0.5310 0.6423 0.8887

***

The following is a PBE-GGA calculation of crystalline RbRh2SO at its relaxed geometry, from the Alexandria database.

Results
SG   P4/mmm, No. 123
Energy relative to the elements, uncorrected   0.249 eV/atom
Total moment   0.36 μB/atom

Cell lengths 4.1498, 5.3791, 4.1498 Å; angles 90.00, 90.00, 90.00 degrees
Site moments in Bohr magnetons follow the coordinates.
Element x y z (fractional)
S 0.5000 0.5000 0.5000  0.24
Rh 0.0000 0.0000 0.5000  0.47
Rh 0.5000 0.0000 0.0000  0.73
O 0.0000 0.0000 0.0000  0.17
Rb 0.0000 0.5000 0.0000  0.01

***

The following is a PBE-GGA calculation of crystalline BeTcRuCCl at its relaxed geometry, from the Alexandria database.

Results
SG   Pm, No. 6
Energy relative to the elements, uncorrected   0.233 eV/atom
Total moment   0.00 μB/atom
Offset from the most stable computed form   0.1278 eV/atom

Cell lengths 3.9354, 3.0082, 6.4940 Å; angles 90.00, 95.95, 90.00 degrees
Element x y z (fractional)
Ru 0.1650 0.0000 0.6683
C 0.7520 0.0000 0.8117
Tc 0.0154 0.5000 0.9953
Be 0.5072 0.5000 0.8207
Cl 0.1735 0.0000 0.2943

***

The following is a PBE-GGA calculation of crystalline UMoSe2 at its relaxed geometry, from the Alexandria database.

Results
SG   R-3m, No. 166
Energy relative to the elements, uncorrected   -0.454 eV/atom
Total moment   0.50 μB/atom

Cell lengths 4.1675, 4.1675, 5.7960 Å; angles 68.93, 68.93, 60.00 degrees
Site moments in Bohr magnetons follow the coordinates.
Element x y z (fractional)
Mo 0.0000 0.0000 0.0000  -0.54
U 0.5000 0.5000 0.5000  2.40
Se 0.2647 0.2647 0.2058  -0.03
Se 0.7353 0.7353 0.7942  -0.03

***

The following is a PBE-GGA calculation of crystalline Sr2LiAuO at its relaxed geometry, from the Alexandria database.

Results
SG   P4/mmm, No. 123
Energy relative to the elements, uncorrected   -1.332 eV/atom
Total moment   0.00 μB/atom

Cell lengths 5.1742, 5.1742, 4.1533 Å; angles 90.00, 90.00, 90.00 degrees
Element x y z (fractional)
Sr 0.0000 0.5000 0.0000
Sr 0.5000 0.0000 0.0000
Au 0.5000 0.5000 0.5000
O 0.0000 0.0000 0.0000
Li 0.0000 0.0000 0.5000

***

The following is a PBE-GGA calculation of crystalline Na2BeSe2 at its relaxed geometry, from the Alexandria database.

Results
SG   Ibam, No. 72
Energy relative to the elements, uncorrected   -0.979 eV/atom
Total moment   0.00 μB/atom
Offset from the most stable computed form   0.0000 eV/atom

Cell lengths 6.2630, 7.2817, 7.2820 Å; angles 107.87, 115.47, 115.47 degrees
Element x y z (fractional)
Na 0.6713 0.8576 0.1423
Na 0.3287 0.1424 0.8577
Na 0.1714 0.6424 0.3577
Na 0.8286 0.3576 0.6423
Be 0.2500 0.2500 0.2500
Be 0.7500 0.7500 0.7500
Se 0.6943 0.6070 0.3931
Se 0.3058 0.3930 0.6069
Se 0.8058 0.1069 0.8931
Se 0.1942 0.8931 0.1070

***

The following is a PBE-GGA calculation of crystalline AlCuGe at its relaxed geometry, from the Alexandria database.

Results
SG   P2_1, No. 4
Formation energy   0.0242 eV per atom
Total moment   0.00 μB/atom

Cell lengths 4.0525, 4.0531, 5.8417 Å; angles 89.99, 90.04, 89.98 degrees
Element x y z (fractional)
Ge 0.5830 0.5170 0.8361
Ge 0.0823 0.0167 0.3942
Al 0.5834 0.5167 0.4006
Al 0.0819 0.0173 0.8297
Cu 0.0835 0.5161 0.1152
Cu 0.5814 0.0160 0.1152

***

The following is a PBE-GGA calculation of crystalline SrZr2Ni at its relaxed geometry, from the Alexandria database.

Results
SG   Cmmm, No. 65
Formation energy   0.6332 eV per atom
Total moment   0.00 μB/atom
Offset from the most stable computed form   0.6151 eV/atom

Cell lengths 5.9975, 5.9975, 3.0974 Å; angles 90.00, 90.00, 123.82 degrees
Element x y z (fractional)
Ni 0.5000 0.0000 0.5000
Sr 0.0000 0.5000 0.5000
Zr 0.0000 0.0000 0.0000
Zr 0.5000 0.5000 0.0000

***

The following is a PBE-GGA calculation of crystalline SrLi2PPd2 at its relaxed geometry, from the Alexandria database.

Results
SG   P4/mmm, No. 123
Formation energy   -0.5344 eV per atom
Total moment   0.00 μB/atom

Cell lengths 4.6510, 4.6510, 5.9793 Å; angles 90.00, 90.00, 90.00 degrees
Element x y z (fractional)
Sr 0.0000 0.0000 0.5000
Li 0.5000 0.5000 0.7760
Li 0.5000 0.5000 0.2240
P 0.0000 0.0000 0.0000
Pd 0.5000 0.0000 0.0000
Pd 0.0000 0.5000 0.0000

***

The following is a PBE-GGA calculation of crystalline La3Tm5Ag12 at its relaxed geometry, from the Alexandria database.

Results
SG   Ia-3d, No. 230
Formation energy   0.2477 eV per atom
Total moment   0.00 μB/atom

Cell lengths 14.7669, 14.7669, 14.7669 Å; angles 109.47, 109.47, 109.47 degrees
Element x y z (fractional)
La 0.7500 0.3750 0.1250
La 0.8750 0.7500 0.1250
La 0.3750 0.7500 0.6250
La 0.2500 0.1250 0.3750
La 0.8750 0.1250 0.2500
La 0.3750 0.6250 0.2500
La 0.6250 0.3750 0.7500
La 0.1250 0.8750 0.7500
La 0.7500 0.8750 0.6250
La 0.6250 0.2500 0.3750
La 0.1250 0.2500 0.8750
La 0.2500 0.6250 0.8750
Tm 0.1250 0.3750 0.2500
Tm 0.0000 0.5000 0.0000
Tm 0.0000 0.0000 0.0000
Tm 0.3750 0.2500 0.1250
Tm 0.5000 0.0000 0.5000
Tm 0.5000 0.5000 0.0000
Tm 0.1250 0.7500 0.3750
Tm 0.7500 0.1250 0.8750
Tm 0.7500 0.6250 0.3750
Tm 0.3750 0.1250 0.7500
Tm 0.6250 0.8750 0.2500
Tm 0.5000 0.5000 0.5000
Tm 0.5000 0.0000 0.0000
Tm 0.0000 0.0000 0.5000
Tm 0.2500 0.3750 0.6250
Tm 0.2500 0.8750 0.1250
Tm 0.0000 0.5000 0.5000
Tm 0.8750 0.2500 0.6250
Tm 0.6250 0.7500 0.8750
Tm 0.8750 0.6250 0.7500
Ag 0.7275 0.1470 0.0690
Ag 0.3415 0.5690 0.4220
Ag 0.9310 0.3530 0.2725
Ag 0.5690 0.2275 0.1470
Ag 0.5805 0.7275 0.6585
Ag 0.9310 0.5780 0.1585
Ag 0.3415 0.7725 0.4195
Ag 0.0780 0.9195 0.1470
Ag 0.5780 0.9310 0.6585
Ag 0.7275 0.5805 0.1585
Ag 0.7725 0.4310 0.3530
Ag 0.8415 0.9220 0.0690
Ag 0.1470 0.7275 0.5690
Ag 0.3530 0.4220 0.0805
Ag 0.0805 0.9220 0.3530
Ag 0.4195 0.1470 0.5780
Ag 0.0805 0.1585 0.2275
Ag 0.4310 0.6585 0.0780
Ag 0.8415 0.9195 0.2725
Ag 0.1470 0.4195 0.0780
Ag 0.3530 0.9310 0.7725
Ag 0.5780 0.6470 0.4195
Ag 0.9220 0.8415 0.5690
Ag 0.7725 0.3415 0.9195
Ag 0.4220 0.3530 0.5805
Ag 0.0780 0.1585 0.4310
Ag 0.2275 0.6585 0.0805
Ag 0.1585 0.0805 0.7275
Ag 0.6470 0.0690 0.2275
Ag 0.8530 0.5805 0.9220
Ag 0.5690 0.3415 0.9220
Ag 0.5805 0.8530 0.4220
Ag 0.9195 0.8415 0.7725
Ag 0.9195 0.0780 0.6470
Ag 0.8530 0.2725 0.4310
Ag 0.1585 0.0780 0.9310
Ag 0.6470 0.5780 0.9195
Ag 0.4220 0.0690 0.3415
Ag 0.2725 0.4195 0.8415
Ag 0.2275 0.5690 0.6470
Ag 0.9220 0.0805 0.8530
Ag 0.6585 0.2275 0.5805
Ag 0.4310 0.7725 0.8530
Ag 0.0690 0.4220 0.8415
Ag 0.4195 0.2725 0.3415
Ag 0.0690 0.6470 0.7275
Ag 0.6585 0.4310 0.5780
Ag 0.2725 0.8530 0.9310